1.
First-principles (PBE) data for KLaHg2Cl8 after structural relaxation, as listed in Alexandria.

```
KLaHg2Cl8
1.0
-4.063 2.641 5.007
4.043 -2.258 4.828
5.032 7.228 2.091
K La Hg Cl
1 1 2 8
Direct
0.000 0.000 0.500
0.000 0.000 0.000
0.483 0.476 0.731
0.517 0.524 0.269
0.147 0.750 0.247
0.652 0.749 0.033
0.827 0.218 0.205
0.853 0.250 0.753
0.348 0.251 0.967
0.173 0.782 0.795
0.618 0.729 0.512
0.382 0.271 0.488
```

## Properties
Magnetization   0.00 μB/cell
Calculated volume   406 Å³ per cell
Raw formation energy   -1.389 eV per atom



2.
First-principles (PBE) data for Ba6AgHg2 after structural relaxation, as listed in Alexandria.

```
Ba6AgHg2
1.0
5.766 0.000 1.630
2.739 7.570 1.325
0.445 -0.614 9.440
Ba Ag Hg
6 1 2
Direct
0.965 0.239 0.831
0.296 0.239 0.169
0.704 0.761 0.831
0.371 0.759 0.500
0.629 0.241 0.500
0.035 0.761 0.169
0.000 0.500 0.500
0.331 0.500 0.837
0.669 0.500 0.163
```

## Properties
Magnetization   0.00 μB/cell
Calculated volume   408 Å³ per cell
ΔH_f (0 K)   -305 meV per atom



3.
First-principles (PBE) data for SrGa2Au2 after structural relaxation, as listed in Alexandria.

```
SrGa2Au2
1.0
-5.111 5.846 -1.870
-5.630 -3.495 4.459
1.069 1.824 2.780
Sr Au Ga
2 4 4
Direct
0.000 0.000 0.000
0.500 0.500 0.000
0.369 0.869 0.000
0.869 0.631 0.000
0.631 0.131 0.000
0.131 0.369 0.000
0.156 0.656 0.500
0.656 0.844 0.500
0.844 0.344 0.500
0.344 0.156 0.500
```

## Properties
Magnetization   0.00 μB/cell
Calculated volume   223 Å³ per cell
Energy above the lowest structure with this stoichiometry   30.45 kJ/mol of atoms
ΔH_f (0 K)   -282 meV per atom



4.
First-principles (PBE) data for PmHo3Er2Te6 after structural relaxation, as listed in Alexandria.

```
PmHo3Er2Te6
1.0
-3.922 1.064 1.469
-2.973 -7.949 -2.180
4.946 -1.809 8.160
Pm Ho Er Te
1 3 2 6
Direct
0.500 0.000 0.000
0.500 0.500 0.000
0.839 0.166 0.679
0.161 0.834 0.321
0.836 0.670 0.672
0.164 0.330 0.328
0.328 0.912 0.656
0.668 0.584 0.337
0.672 0.088 0.344
0.002 0.259 0.004
0.998 0.741 0.996
0.332 0.416 0.663
```

## Properties
Magnetization   0.00 μB/cell
Calculated volume   350 Å³ per cell
Raw formation energy   -1.262 eV per atom



5.
First-principles (PBE) data for LaCdRe2 after structural relaxation, as listed in Alexandria.

```
LaCdRe2
1.0
-0.739 -2.718 -3.318
3.184 -0.900 -2.827
2.468 -5.656 1.232
Re La Cd
2 1 1
Direct
0.045 0.045 0.864
0.728 0.728 0.815
0.259 0.259 0.224
0.468 0.468 0.597
```

## Properties
Magnetization   0.00 μB/cell
Calculated volume   95 Å³ per cell
ΔH_f (0 K)   226 meV per atom



6.
First-principles (PBE) data for V4NiH after structural relaxation, as listed in Alexandria.

```
V4NiH
1.0
-1.125 -0.819 -2.024
4.253 -3.363 -1.004
-2.752 -3.698 3.026
V Ni H
4 1 1
Direct
0.500 0.236 0.764
0.000 0.802 0.802
0.000 0.198 0.198
0.500 0.764 0.236
0.000 0.500 0.500
0.500 0.000 0.000
```

## Properties
Magnetization   0.00 μB/cell
Calculated volume   74 Å³ per cell
Total energy   -7.28 eV per atom



7.
First-principles (PBE) data for NdSm5In3 after structural relaxation, as listed in Alexandria.

```
NdSm5In3
1.0
-0.584 2.013 -8.486
-7.912 -3.701 -0.334
1.242 7.118 6.105
Nd Sm In
2 10 6
Direct
0.750 0.250 0.500
0.250 0.750 0.500
0.072 0.572 0.733
0.661 0.161 0.733
0.161 0.072 0.733
0.572 0.661 0.733
0.928 0.428 0.267
0.339 0.839 0.267
0.839 0.928 0.267
0.428 0.339 0.267
0.500 0.500 0.000
0.000 0.000 0.000
0.610 0.110 0.000
0.390 0.890 0.000
0.890 0.610 0.000
0.110 0.390 0.000
0.250 0.250 0.500
0.750 0.750 0.500
```

## Properties
Magnetization   0.00 μB/cell
Calculated volume   547 Å³ per cell
Energy above the lowest structure with this stoichiometry   20.37 kJ/mol of atoms
ΔH_f (0 K)   -134 meV per atom



8.
First-principles (PBE) data for Pu4PdRh2 after structural relaxation, as listed in Alexandria.

```
Pu4PdRh2
1.0
-7.305 -2.823 3.504
4.330 -5.176 -3.136
3.374 4.881 4.834
Pu Pd Rh
8 2 4
Direct
0.796 0.242 0.172
0.290 0.631 0.230
0.918 0.577 0.731
0.812 0.075 0.704
0.383 0.973 0.173
0.289 0.196 0.880
0.493 0.528 0.663
0.950 0.753 0.253
0.290 0.761 0.657
0.053 0.094 0.128
0.543 0.201 0.705
0.652 0.833 0.183
0.664 0.558 0.378
0.116 0.329 0.642
```

## Properties
Magnetization   0.34 μB/cell
Calculated volume   295 Å³ per cell
Energy above the lowest structure with this stoichiometry   6.45 kJ/mol of atoms
ΔH_f (0 K)   -294 meV per atom



9.
First-principles (PBE) data for K3HfSc after structural relaxation, as listed in Alexandria.

```
K3HfSc
1.0
-5.363 3.528 -0.772
-2.334 -4.441 -4.078
-2.755 -3.104 4.957
Sc K Hf
1 3 1
Direct
0.000 0.000 0.000
0.000 0.500 0.000
0.000 0.000 0.500
0.500 0.000 0.000
0.500 0.500 0.500
```

## Properties
Magnetization   1.90 μB/cell
Calculated volume   270 Å³ per cell
Energy above the lowest structure with this stoichiometry   12.07 kJ/mol of atoms
ΔH_f (0 K)   1768 meV per atom



10.
First-principles (PBE) data for Co3BMo after structural relaxation, as listed in Alexandria.

```
Co3BMo
1.0
4.399 0.000 0.000
0.000 4.399 0.000
0.000 0.000 4.399
Mo B Co
1 1 3
Direct
0.000 0.000 0.000
0.500 0.500 0.500
0.000 0.500 0.000
0.000 0.000 0.500
0.500 0.000 0.000
```

## Properties
Magnetization   1.82 μB/cell
Calculated volume   85 Å³ per cell
Energy above the lowest structure with this stoichiometry   205.81 kJ/mol of atoms
ΔH_f (0 K)   2295 meV per atom



11.
First-principles (PBE) data for KBi2B after structural relaxation, as listed in Alexandria.

```
KBi2B
1.0
-3.812 -5.202 -0.206
5.061 -3.763 1.364
-0.692 -3.787 7.381
K B Bi
2 2 4
Direct
0.000 0.000 0.000
0.750 0.250 0.500
0.500 0.500 0.000
0.250 0.750 0.500
0.460 0.125 0.250
0.290 0.625 0.250
0.375 0.540 0.750
0.875 0.710 0.750
```

## Properties
Magnetization   0.00 μB/cell
Calculated volume   290 Å³ per cell
ΔH_f (0 K)   517 meV per atom



12.
First-principles (PBE) data for Pm2NiSe after structural relaxation, as listed in Alexandria.

```
Pm2NiSe
1.0
4.243 0.000 0.000
0.000 3.946 -0.701
0.000 0.032 11.642
Pm Ni Se
4 2 2
Direct
0.750 0.680 0.359
0.250 0.320 0.641
0.750 0.938 0.875
0.250 0.062 0.125
0.250 0.468 0.937
0.750 0.532 0.063
0.250 0.192 0.383
0.750 0.808 0.617
```

## Properties
Magnetization   0.00 μB/cell
Calculated volume   195 Å³ per cell
Raw formation energy   -1.055 eV per atom
Energy above the lowest structure with this stoichiometry   0.00 kJ/mol of atoms



> Which value of calculated volume does entry 3 give?

223 Å³ per cell